{
  "formula": "Na2NiSeO6",
  "functional": "PBE+U",
  "state": "relaxed",
  "lattice": [[5.458, 0.000, 0.000], [-2.729, 4.727, 0.000], [0.000, 0.000, 4.895]],
  "species": ["Na", "Na", "Ni", "Se", "O", "O", "O", "O", "O", "O"],
  "fractional_positions": [[0.333, 0.667, 0.243], [0.667, 0.333, 0.757], [0.000, 0.000, 0.000], [0.000, 0.000, 0.500], [0.148, 0.297, 0.740], [0.148, 0.852, 0.740], [0.297, 0.148, 0.260], [0.703, 0.852, 0.740], [0.852, 0.148, 0.260], [0.852, 0.703, 0.260]],
  "total_magnetization_mub_per_atom": 0.0000,
  "dft_energy_ev_per_atom": -4.70,
  "space_group": "P-3m1 (164)"
}